# SrLiSe2N

A relaxed SrLiSe2N crystal (PBE, Alexandria).

Cell and atoms, written as extended XYZ:
```
5
Lattice="-2.042 -3.007 3.390 2.180 -3.912 -2.156 3.453 0.523 2.543" Properties=species:S:1:pos:R:3 pbc="T T T"
Li 0.000 0.000 0.000
Se 1.090 -1.956 -1.078
Se -1.021 -1.503 1.695
Sr 1.796 -3.198 1.889
N 1.726 0.261 1.272
```

symmetry	P4/mmm (123)
VASP energy	-19.35	eV per cell
uncorrected formation energy	-91.0	meV per atom
ΔE to the lowest computed polymorph	0.0	kJ/mol of atoms

# SrLiSe2N

A relaxed SrLiSe2N crystal (PBE, Alexandria).

Cell and atoms, written as extended XYZ:
```
5
Lattice="-1.960 -1.785 5.287 3.920 -4.429 -0.043 3.338 2.933 2.228" Properties=species:S:1:pos:R:3 pbc="T T T"
Sr 0.000 0.000 0.000
Li 2.649 -1.641 3.736
Se -0.980 -0.893 2.644
Se 1.960 -2.215 -0.021
N 1.669 1.466 1.114
```

symmetry	P4/mmm (123)
VASP energy	-16.99	eV per cell
uncorrected formation energy	380.4	meV per atom
ΔE to the lowest computed polymorph	45.5	kJ/mol of atoms

# LiTaSe2N

A relaxed LiTaSe2N crystal (PBE, Alexandria).

Cell and atoms, written as extended XYZ:
```
5
Lattice="-1.729 -1.704 -4.566 0.333 -4.875 1.693 -3.714 0.208 1.329" Properties=species:S:1:pos:R:3 pbc="T T T"
Se -0.864 -0.852 -2.283
Se 0.166 -2.438 0.847
Li -2.555 -3.186 -0.772
N -1.857 0.104 0.664
Ta 0.000 0.000 0.000
```

symmetry	P4/mmm (123)
VASP energy	-30.91	eV per cell
uncorrected formation energy	-370.0	meV per atom
ΔE to the lowest computed polymorph	0.0	kJ/mol of atoms

# LiTaSe2N

A relaxed LiTaSe2N crystal (PBE, Alexandria).

Cell and atoms, written as extended XYZ:
```
5
Lattice="4.678 0.000 0.000 0.000 4.678 0.000 0.000 0.000 3.445" Properties=species:S:1:pos:R:3 pbc="T T T"
Li 0.000 0.000 0.000
Se 2.339 0.000 0.000
Se 0.000 2.339 0.000
Ta 2.339 2.339 1.723
N 0.000 0.000 1.723
```

symmetry	P4/mmm (123)
VASP energy	-24.91	eV per cell
uncorrected formation energy	830.5	meV per atom
ΔE to the lowest computed polymorph	115.8	kJ/mol of atoms